(1)
Crystalline In2MoSe at its relaxed geometry. Source: Alexandria via LeMat-Bulk, functional GGA-PBE.

Results
ΔE_f (raw), eV/atom: 0.45
Symmetry: I-4m2 (119)
ρ, kg/m³: 8042
Crystal system: tetragonal
Volume, A^3/atom: 20.88
Electronic total energy, eV per cell: -17.99

Cell: 5.3739 5.3739 5.3739 Å, 132.19 132.19 69.93°
Closest atoms and distances in Å follow each position.
Positions (direct):
In 0.0000 0.0000 0.0000  4 Se 3.08, 4 In 3.10, 4 Mo 3.10
In 0.7500 0.2500 0.5000  4 Mo 3.08, 4 In 3.10, 4 Se 3.10
Mo 0.2500 0.7500 0.5000  8 In 3.08-3.10, 4 Se 3.10
Se 0.5000 0.5000 0.0000  8 In 3.08-3.10, 4 Mo 3.10

(2)
Crystalline InMo2Se at its relaxed geometry. Source: Alexandria via LeMat-Bulk, functional GGA-PBE.

Results
ΔE_f (raw), eV/atom: 0.48
Symmetry: P2/m (10)
ρ, kg/m³: 8954
Crystal system: monoclinic
Volume, A^3/atom: 17.88
Electronic total energy, eV per cell: -25.98

Cell: 3.1690 3.8244 6.0592 Å, 90.00 103.10 90.00°
Closest atoms and distances in Å follow each position.
Positions (direct):
In 0.0000 0.0000 0.0000  8 Mo 2.95-3.03, 2 Se 3.03, 2 In 3.17
Mo 0.3545 0.5000 0.7184  2 Se 2.45
Mo 0.6455 0.5000 0.2816  2 Se 2.45
Se 0.0000 0.0000 0.5000  4 Mo 2.45

(3)
Crystalline InMo2Se at its relaxed geometry. Source: Alexandria via LeMat-Bulk, functional GGA-PBE.

Results
ΔE_f (raw), eV/atom: 0.56
Symmetry: Pmmm (47)
ρ, kg/m³: 8954
Crystal system: orthorhombic
Volume, A^3/atom: 17.88
Electronic total energy, eV per cell: -25.64

Cell: 3.2567 4.6463 4.7268 Å, 90.00 90.00 90.00°
Closest atoms and distances in Å follow each position.
Positions (direct):
In 0.0000 0.0000 0.0000  4 Mo 2.84, 4 Se 2.87
Mo 0.0000 0.5000 0.5000  4 Se 2.84, 4 Mo 2.87
Mo 0.5000 0.5000 0.0000  4 In 2.84, 4 Mo 2.87
Se 0.5000 0.0000 0.5000  4 Mo 2.84, 4 In 2.87

(4)
Crystalline In2MoSe at its relaxed geometry. Source: Alexandria via LeMat-Bulk, functional GGA-PBE.

Results
ΔE_f (raw), eV/atom: 0.10
Symmetry: Amm2 (38)
ρ, kg/m³: 7992
Crystal system: orthorhombic
Volume, A^3/atom: 21.01
Electronic total energy, eV per cell: -19.39

Cell: 4.2910 5.5632 5.5632 Å, 39.26 90.00 90.00°
Closest atoms and distances in Å follow each position.
Positions (direct):
In 0.0000 0.0000 0.0000  3 Se 2.89-3.00, 4 Mo 2.99
In 0.5000 0.3114 0.3114  3 Mo 2.88-3.01, 4 Se 2.99
Mo 0.5000 0.5864 0.5864  2 Se 2.59, 1 In 2.88
Se 0.0000 0.7245 0.7245  2 Mo 2.59, 1 In 2.89

(5)
Crystalline InMoSe at its relaxed geometry. Source: Alexandria via LeMat-Bulk, functional GGA-PBE.

Results
ΔE_f (raw), eV/atom: 0.60
Symmetry: F-43m (216)
ρ, kg/m³: 7132
Crystal system: cubic
Volume, A^3/atom: 22.49
Electronic total energy, eV per cell: -15.25

Cell: 4.5693 4.5693 4.5693 Å, 60.00 60.00 60.00°
Closest atoms and distances in Å follow each position.
Positions (direct):
In 0.0000 0.0000 0.0000  4 Mo 2.80
Mo 0.2500 0.2500 0.2500  4 In 2.80, 4 Se 2.80
Se 0.5000 0.5000 0.5000  4 Mo 2.80

(6)
Crystalline InMo2Se at its relaxed geometry. Source: Alexandria via LeMat-Bulk, functional GGA-PBE.

Results
ΔE_f (raw), eV/atom: 0.51
Symmetry: Cmmm (65)
ρ, kg/m³: 8915
Crystal system: orthorhombic
Volume, A^3/atom: 17.96
Electronic total energy, eV per cell: -25.85

Cell: 3.0493 3.0493 8.7962 Å, 90.00 90.00 118.56°
Closest atoms and distances in Å follow each position.
Positions (direct):
In 0.0000 0.0000 0.0000  4 Mo 2.87, 6 In 3.05-3.12
Mo 0.5000 0.5000 0.2738  2 Se 2.53
Mo 0.5000 0.5000 0.7262  2 Se 2.53
Se 0.0000 0.0000 0.5000  4 Mo 2.53

(7)
Crystalline In2MoSe at its relaxed geometry. Source: Alexandria via LeMat-Bulk, functional GGA-PBE.

Results
ΔE_f (raw), eV/atom: 0.34
Symmetry: P4/mmm (123)
ρ, kg/m³: 8235
Crystal system: tetragonal
Volume, A^3/atom: 20.39
Electronic total energy, eV per cell: -18.42

Cell: 3.6298 3.6298 6.1908 Å, 90.00 90.00 90.00°
Closest atoms and distances in Å follow each position.
Positions (direct):
In 0.0000 0.0000 0.2354  1 In 2.91, 4 Mo 2.95, 4 Se 3.04
In 0.0000 0.0000 0.7646  1 In 2.91, 4 Mo 2.95, 4 Se 3.04
Mo 0.5000 0.5000 0.0000  8 In 2.95, 2 Se 3.10
Se 0.5000 0.5000 0.5000  8 In 3.04, 2 Mo 3.10

(8)
Crystalline In2MoSe at its relaxed geometry. Source: Alexandria via LeMat-Bulk, functional GGA-PBE.

Results
ΔE_f (raw), eV/atom: 0.47
Symmetry: I4/mmm (139)
ρ, kg/m³: 8112
Crystal system: tetragonal
Volume, A^3/atom: 20.70
Electronic total energy, eV per cell: -17.92

Cell: 5.6122 5.6122 5.6122 Å, 136.46 136.46 63.27°
Closest atoms and distances in Å follow each position.
Positions (direct):
In 0.2500 0.7500 0.5000  4 In 2.94, 4 Mo 3.17, 4 Se 3.17
In 0.7500 0.2500 0.5000  4 In 2.94, 4 Mo 3.17, 4 Se 3.17
Mo 0.0000 0.0000 0.0000  4 Se 2.94, 8 In 3.17
Se 0.5000 0.5000 0.0000  4 Mo 2.94, 8 In 3.17